1.
# PBE RbAgTeRh2, relaxed
data_RbAgTeRh2
_symmetry_space_group_name_H-M 'P 1'
_symmetry_Int_Tables_number 1
_symmetry_space_group_name_Hall 'P 1'
_cell_length_a 4.893
_cell_length_b 6.365
_cell_length_c 4.893
_cell_angle_alpha 90.00
_cell_angle_beta 90.00
_cell_angle_gamma 90.00
loop_
_atom_site_label
_atom_site_type_symbol
_atom_site_fract_x
_atom_site_fract_y
_atom_site_fract_z
Te1 Te 0.000 0.500 0.000
Rh1 Rh 0.000 0.000 0.500
Rh2 Rh 0.500 0.000 0.000
Rb1 Rb 0.000 0.000 0.000
Ag1 Ag 0.500 0.500 0.500
# space group = No. 123
# E_tot = -12.31 eV/cell
# formation energy without anion corrections = 1.8704 eV per atom
# crystal system = tetragonal
# magnetization = 2.03 μB per formula unit

2.
# PBE RbTl2AgRh, relaxed
data_RbTl2AgRh
_symmetry_space_group_name_H-M 'P 1'
_symmetry_Int_Tables_number 1
_symmetry_space_group_name_Hall 'P 1'
_cell_length_a 5.274
_cell_length_b 5.274
_cell_length_c 5.507
_cell_angle_alpha 90.00
_cell_angle_beta 90.00
_cell_angle_gamma 90.00
loop_
_atom_site_label
_atom_site_type_symbol
_atom_site_fract_x
_atom_site_fract_y
_atom_site_fract_z
Tl1 Tl 0.000 0.500 0.000
Tl2 Tl 0.500 0.000 0.000
Rh1 Rh 0.000 0.000 0.000
Rb1 Rb 0.500 0.500 0.500
Ag1 Ag 0.000 0.000 0.500
# space group = No. 123
# E_tot = -15.84 eV/cell
# crystal system = tetragonal
# energy of formation from the pure elements = 0.01 eV/atom
# magnetization = 0.00 μB per formula unit

3.
# PBE Rb2VAgRh, relaxed
data_Rb2VAgRh
_symmetry_space_group_name_H-M 'P 1'
_symmetry_Int_Tables_number 1
_symmetry_space_group_name_Hall 'P 1'
_cell_length_a 6.601
_cell_length_b 4.564
_cell_length_c 6.601
_cell_angle_alpha 90.00
_cell_angle_beta 90.00
_cell_angle_gamma 90.00
loop_
_atom_site_label
_atom_site_type_symbol
_atom_site_fract_x
_atom_site_fract_y
_atom_site_fract_z
Rh1 Rh 0.000 0.000 0.000
Rb1 Rb 0.000 0.000 0.500
Rb2 Rb 0.500 0.000 0.000
Ag1 Ag 0.500 0.500 0.500
V1 V 0.000 0.500 0.000
# space group = No. 123
# E_tot = -17.31 eV/cell
# crystal system = tetragonal
# energy of formation from the pure elements = 0.79 eV/atom
# magnetization = 2.97 μB per formula unit

4.
# PBE RbYAg2Rh, relaxed
data_RbYAg2Rh
_symmetry_space_group_name_H-M 'P 1'
_symmetry_Int_Tables_number 1
_symmetry_space_group_name_Hall 'P 1'
_cell_length_a 5.260
_cell_length_b 5.064
_cell_length_c 5.260
_cell_angle_alpha 90.00
_cell_angle_beta 90.00
_cell_angle_gamma 90.00
loop_
_atom_site_label
_atom_site_type_symbol
_atom_site_fract_x
_atom_site_fract_y
_atom_site_fract_z
Y1 Y 0.500 0.500 0.500
Rh1 Rh 0.000 0.000 0.000
Rb1 Rb 0.000 0.500 0.000
Ag1 Ag 0.000 0.000 0.500
Ag2 Ag 0.500 0.000 0.000
# space group = No. 123
# E_tot = -16.48 eV/cell
# crystal system = tetragonal
# energy of formation from the pure elements = 0.80 eV/atom
# magnetization = 0.00 μB per formula unit